1.
LiDyTiAl: relaxed, GGA-PBE.

Energy of formation from the pure elements = -37 meV per atom
Crystal system = cubic
Symmetry = F-43m (216)

Geometry as POSCAR:
```
LiDyTiAl
1.0
-2.178 3.707 2.187
0.701 0.772 4.710
2.590 3.798 1.462
Ti Li Al Dy
1 1 1 1
Cartesian
0.278 2.069 2.090 Ti
0.557 4.138 4.180 Li
0.000 0.000 0.000 Al
0.835 6.207 6.269 Dy
```

2.
Hg4I2ClO: relaxed, GGA-PBE.

Crystal system = orthorhombic
Raw formation energy = -121 kJ/mol of formula units
Symmetry = Pmn2_1 (31)

Geometry as POSCAR:
```
Hg4I2ClO
1.0
-3.836 5.585 0.878
-7.269 -5.555 3.578
3.264 0.964 8.130
Hg I Cl O
8 4 2 2
Cartesian
-2.118 1.189 0.709 Hg
-7.966 0.213 7.951 Hg
-0.807 2.244 4.836 Hg
-10.014 0.232 3.993 Hg
-4.483 -0.842 8.295 Hg
-5.217 3.620 3.283 Hg
-3.057 4.258 8.660 Hg
-5.588 -1.169 5.542 Hg
-3.079 1.010 3.506 I
-1.448 1.492 7.569 I
-6.217 2.105 9.414 I
-7.850 1.623 5.347 I
0.803 -0.079 4.464 Cl
-8.423 -2.106 3.632 Cl
-6.891 -1.694 7.745 O
-0.735 -0.483 0.352 O
```

3.
HfPaSbO6: relaxed, GGA-PBE.

Crystal system = trigonal
Raw formation energy = -2420 kJ/mol of formula units
Symmetry = P-31c (163)

Geometry as POSCAR:
```
HfPaSbO6
1.0
5.707 0.000 0.000
-2.853 4.942 0.000
0.000 0.000 9.400
Hf Pa Sb O
2 2 2 12
Cartesian
2.853 1.647 2.350 Hf
0.000 3.295 7.050 Hf
0.000 3.295 2.350 Pa
2.853 1.647 7.050 Pa
0.000 0.000 0.000 Sb
0.000 0.000 4.700 Sb
1.906 3.181 1.271 O
4.655 1.701 1.271 O
-0.855 4.882 5.971 O
-1.802 3.242 8.129 O
1.052 1.701 3.429 O
3.800 3.181 3.429 O
0.855 4.882 8.129 O
3.708 0.060 3.429 O
-0.947 1.761 5.971 O
1.999 0.060 1.271 O
1.802 3.242 5.971 O
0.947 1.761 8.129 O
```

4.
PuBeCu4: relaxed, GGA-PBE.

Energy of formation from the pure elements = 117 meV per atom
Crystal system = cubic
Symmetry = F-43m (216)

Geometry as POSCAR:
```
PuBeCu4
1.0
4.977 0.000 0.000
2.488 4.310 0.000
2.488 1.437 4.064
Be Cu Pu
1 4 1
Cartesian
0.000 0.000 0.000 Be
4.977 2.873 0.490 Cu
4.977 1.420 2.546 Cu
6.236 3.600 2.546 Cu
3.718 3.600 2.546 Cu
2.488 1.437 1.016 Pu
```

5.
Li2Ca2ErMg5: relaxed, GGA-PBE.

Energy of formation from the pure elements = -42 meV per atom
Crystal system = tetragonal
Symmetry = P4/mbm (127)

Geometry as POSCAR:
```
Li2Ca2ErMg5
1.0
4.324 0.000 0.000
0.000 11.000 0.000
0.000 0.000 11.000
Li Ca Er Mg
4 4 2 10
Cartesian
0.000 1.279 6.779 Li
0.000 9.720 4.221 Li
0.000 6.779 9.720 Li
0.000 4.221 1.279 Li
0.000 7.493 1.993 Ca
0.000 3.507 9.007 Ca
0.000 1.993 3.507 Ca
0.000 9.007 7.493 Ca
0.000 0.000 0.000 Er
0.000 5.500 5.500 Er
2.162 2.336 0.656 Mg
2.162 8.664 10.344 Mg
2.162 0.656 8.664 Mg
2.162 7.836 4.844 Mg
2.162 10.344 2.336 Mg
2.162 3.164 6.156 Mg
2.162 6.156 7.836 Mg
2.162 4.844 3.164 Mg
2.162 5.500 0.000 Mg
2.162 0.000 5.500 Mg
```

6.
Rb2MnAuS4: relaxed, GGA-PBE.

Crystal system = orthorhombic
Raw formation energy = -517 kJ/mol of formula units
Symmetry = Fddd (70)

Geometry as POSCAR:
```
Rb2MnAuS4
1.0
-0.586 -2.217 5.339
-4.904 -5.475 0.350
8.080 -8.753 0.413
Rb Mn Au S
4 2 2 8
Cartesian
5.080 -6.014 1.222 Rb
2.414 -4.956 4.530 Rb
4.148 -11.516 3.577 Rb
-1.852 -6.038 5.194 Rb
1.441 -7.668 1.716 Mn
-0.293 -1.109 2.669 Mn
1.148 -8.777 4.386 Au
0.000 0.000 0.000 Au
-3.286 -6.151 2.111 S
6.116 -9.384 1.800 S
2.705 -14.127 5.213 S
-0.356 -3.228 3.080 S
-0.470 -8.100 2.625 S
3.112 -8.146 2.999 S
1.033 -11.095 5.274 S
1.504 -5.549 1.306 S
```

7.
SmTh3Sb4: relaxed, GGA-PBE.

Crystal system = monoclinic
Raw formation energy = -757 kJ/mol of formula units
Symmetry = P2/c (13)

Geometry as POSCAR:
```
SmTh3Sb4
1.0
-2.837 -6.971 -2.050
5.435 2.176 -5.145
6.297 -4.019 4.953
Sb Th Sm
8 6 2
Cartesian
2.465 -8.938 -0.223 Sb
5.446 -6.467 2.037 Sb
2.289 -4.436 -0.452 Sb
2.129 0.041 -0.662 Sb
6.767 -8.854 -1.580 Sb
6.607 -4.378 -1.790 Sb
3.450 -2.347 -4.279 Sb
6.431 0.125 -2.019 Sb
0.232 -6.734 0.318 Th
3.229 -4.256 2.585 Th
4.527 -6.653 -1.014 Th
1.374 -4.641 -3.493 Th
4.369 -2.161 -1.229 Th
7.522 -4.173 1.251 Th
3.388 -8.748 2.801 Sm
0.072 -2.241 0.102 Sm
```

8.
RbNaTcBr6: relaxed, GGA-PBE.

Crystal system = trigonal
Raw formation energy = -834 kJ/mol of formula units
Symmetry = P-31c (163)

Geometry as POSCAR:
```
RbNaTcBr6
1.0
-5.396 1.594 4.760
3.660 -6.371 0.577
9.673 6.357 8.836
Rb Na Tc Br
2 2 2 12
Cartesian
0.000 0.000 0.000 Rb
4.837 3.178 4.418 Rb
3.059 -2.127 4.180 Na
4.878 3.707 9.993 Na
0.041 0.528 5.575 Tc
7.896 1.052 8.598 Tc
0.135 -1.877 4.760 Br
-2.438 0.243 6.052 Br
7.882 -1.402 7.937 Br
10.376 1.337 8.121 Br
2.550 0.644 5.187 Br
0.471 -0.101 7.999 Br
8.463 0.302 10.959 Br
0.055 2.982 6.236 Br
7.466 1.681 6.174 Br
-0.526 1.279 3.214 Br
5.387 0.936 8.986 Br
7.802 3.457 9.413 Br
```